The following is a DFT calculation (GGA-PBE) of a geometry-optimized Tb2HgPd6 structure.

Lattice parameters (Å, degrees): 8.3958 7.7369 5.3567 90.00 98.18 90.00
With the nearest neighbours (Å) after each atom.
Space group C2/m (No. 12)
Unique sites:
Tb 0.1935 0.0000 0.1300  10 Pd 2.92-3.11, 1 Hg 3.02
Hg 0.0000 0.5000 0.5000  8 Pd 2.88-3.01, 2 Tb 3.02
Pd 0.0000 0.3216 0.0000  3 Pd 2.71-2.76, 2 Tb 3.00, 2 Hg 3.01
Pd 0.1510 0.1735 0.6404  4 Pd 2.67-2.76, 1 Hg 2.88, 1 Tb 2.92

Theoretical density ... 11156 kg/m³
Energy ... -5.0410 eV/atom
D(E_F) ... 0.4816 states/eV per atom
V ... 19.135 A^3/atom
M_tot ... 0.0 μB per formula unit
Energy of formation ... -0.5166 eV/atom

---

The following is a DFT calculation (GGA-PBE) of a geometry-optimized CaZrMo2H structure.

Lattice parameters (Å, degrees): 5.0941 5.0941 3.4423 90.00 90.00 90.00
With the nearest neighbours (Å) after each atom.
Space group P4/mmm (No. 123)
Unique sites:
Ca 0.0000 0.0000 0.0000  2 H 1.72
Zr 0.5000 0.5000 0.5000  8 Mo 3.07, 2 Zr 3.44
Mo 0.0000 0.5000 0.0000  2 Ca 2.55
H 0.0000 0.0000 0.5000  2 Ca 1.72

Theoretical density ... 6027 kg/m³
Energy ... -5.4905 eV/atom
D(E_F) ... 1.3678 states/eV per atom
V ... 17.865 A^3/atom
M_tot ... 0.6 μB per formula unit

---

The following is a DFT calculation (GGA-PBE) of a geometry-optimized CeSmTlCd structure.

Lattice parameters (Å, degrees): 7.7182 7.7182 7.7182 90.00 90.00 90.00
With the nearest neighbours (Å) after each atom.
Space group F-43m (No. 216)
Unique sites:
Ce 0.0000 0.0000 0.0000  4 Cd 3.34, 4 Tl 3.34
Sm 0.0000 0.0000 0.5000  4 Cd 3.34, 4 Tl 3.34
Tl 0.2500 0.2500 0.2500  4 Sm 3.34, 4 Ce 3.34
Cd 0.2500 0.2500 0.7500  4 Ce 3.34, 4 Sm 3.34

Theoretical density ... 8773 kg/m³
Energy ... -3.7423 eV/atom
D(E_F) ... 2.5175 states/eV per atom
V ... 28.736 A^3/atom
M_tot ... 1.8 μB per formula unit
Energy of formation ... -0.2587 eV/atom

---

The following is a DFT calculation (GGA-PBE) of a geometry-optimized CdP2Os structure.

Lattice parameters (Å, degrees): 3.9930 3.1205 5.3507 90.00 90.21 90.00
With the nearest neighbours (Å) after each atom.
Space group P2/m (No. 10)
Unique sites:
Cd 0.0000 0.0000 0.0000  6 P 2.53-2.68
P 0.0000 0.0000 0.5000  4 Os 2.53, 2 Cd 2.68
P 0.5000 0.5000 0.0000  4 Cd 2.53, 2 Os 2.68
Os 0.5000 0.5000 0.5000  6 P 2.53-2.68

Theoretical density ... 9081 kg/m³
E above lowest polymorph ... 559 meV per atom
Energy ... -5.1826 eV/atom
D(E_F) ... 0.7479 states/eV per atom
V ... 16.668 A^3/atom
M_tot ... 0.0 μB per formula unit
Energy of formation ... 0.5586 eV/atom